Entry from Alexandria: ClF after structural relaxation (PBE).

Symmetry   No. 11
DOS(E_F)   0.00 states/eV/cell
Spin magnetization   0.0000 μB per atom
Energy relative to the lowest polymorph listed for this composition   0.23 eV/f.u.

Cell lengths 3.838, 3.882, 6.519 Å; angles 86.81, 90.00, 90.00 degrees
Positions (direct):
F 0.750 0.728 0.111
Cl 0.750 0.900 0.339
F 0.250 0.272 0.889
Cl 0.250 0.100 0.661



Entry from Alexandria: Nd12HoSc6 after structural relaxation (PBE).

Symmetry   No. 148
DOS(E_F)   28.74 states/eV/cell
Formation energy from the elements   270 meV per atom
Spin magnetization   0.0000 μB per atom
Energy relative to the lowest polymorph listed for this composition   0.74 eV/f.u.

Cell lengths 9.052, 9.052, 9.052 Å; angles 106.70, 106.70, 106.70 degrees
Positions (direct):
Nd 0.430 0.523 0.803
Nd 0.721 0.866 0.171
Sc 0.071 0.186 0.463
Ho 0.000 0.000 0.000
Nd 0.279 0.134 0.829
Nd 0.523 0.803 0.430
Nd 0.829 0.279 0.134
Nd 0.477 0.197 0.570
Sc 0.537 0.929 0.814
Nd 0.866 0.171 0.721
Nd 0.570 0.477 0.197
Sc 0.463 0.071 0.186
Nd 0.197 0.570 0.477
Nd 0.134 0.829 0.279
Sc 0.814 0.537 0.929
Sc 0.186 0.463 0.071
Sc 0.929 0.814 0.537
Nd 0.171 0.721 0.866
Nd 0.803 0.430 0.523



Entry from Alexandria: LiAsN2O after structural relaxation (PBE).

Symmetry   No. 123
Electronic total energy   -5.128 eV per atom
DOS(E_F)   2.20 states/eV/cell
Spin magnetization   0.3039 μB per atom

Cell lengths 3.732, 3.732, 3.822 Å; angles 90.00, 90.00, 90.00 degrees
Last column: magnetic moment on the atom in μB.
Positions (direct):
N 0.500 0.000 0.000  0.47
N 0.000 0.500 0.000  0.47
Li 0.500 0.500 0.500  -0.01
As 0.000 0.000 0.000  -0.04
O 0.000 0.000 0.500  0.22



Entry from Alexandria: Te2Os after structural relaxation (PBE).

Symmetry   No. 63
Electronic total energy   -5.523 eV per atom
DOS(E_F)   3.34 states/eV/cell
Spin magnetization   0.0001 μB per atom

Cell lengths 7.239, 7.239, 4.099 Å; angles 90.00, 90.00, 129.08 degrees
Positions (direct):
Te 0.118 0.363 0.250
Os 0.140 0.140 0.750
Te 0.882 0.637 0.750
Te 0.363 0.118 0.250
Te 0.637 0.882 0.750
Os 0.860 0.860 0.250



Entry from Alexandria: InHgSe2 after structural relaxation (PBE).

Symmetry   No. 12
Electronic total energy   -2.421 eV per atom
DOS(E_F)   1.23 states/eV/cell
Spin magnetization   0.0000 μB per atom

Cell lengths 6.676, 6.676, 4.457 Å; angles 70.71, 70.71, 32.67 degrees
Positions (direct):
Se 0.994 0.994 0.006
In 0.250 0.250 0.250
Hg 0.750 0.750 0.750
Se 0.506 0.506 0.494



Entry from Alexandria: Ti2CrFe2 after structural relaxation (PBE).

Symmetry   No. 127
DOS(E_F)   12.14 states/eV/cell
Formation energy from the elements   -45 meV per atom
Spin magnetization   0.0000 μB per atom

Cell lengths 5.791, 5.791, 4.033 Å; angles 90.00, 90.00, 90.00 degrees
Positions (direct):
Cr 0.500 0.500 0.000
Ti 0.182 0.682 0.500
Ti 0.818 0.318 0.500
Fe 0.862 0.638 0.000
Fe 0.362 0.862 0.000
Cr 0.000 0.000 0.000
Fe 0.138 0.362 0.000
Ti 0.318 0.182 0.500
Ti 0.682 0.818 0.500
Fe 0.638 0.138 0.000



Entry from Alexandria: Y2ZrMnBe after structural relaxation (PBE).

Symmetry   No. 123
DOS(E_F)   4.84 states/eV/cell
Formation energy from the elements   623 meV per atom
Spin magnetization   0.0140 μB per atom

Cell lengths 5.210, 5.210, 4.601 Å; angles 90.00, 90.00, 90.00 degrees
Last column: magnetic moment on the atom in μB.
Positions (direct):
Mn 0.000 0.000 0.000  -0.10
Y 0.500 0.000 0.000  0.01
Be 0.500 0.500 0.500  0.00
Zr 0.000 0.000 0.500  0.01
Y 0.000 0.500 0.000  0.01



Entry from Alexandria: TcPBr after structural relaxation (PBE).

Symmetry   No. 216
DOS(E_F)   1.72 states/eV/cell
Spin magnetization   0.0000 μB per atom
Energy relative to the lowest polymorph listed for this composition   3.35 eV/f.u.

Cell lengths 4.260, 4.260, 4.260 Å; angles 60.00, 60.00, 60.00 degrees
Positions (direct):
Br 0.500 0.500 0.500
Tc 0.000 0.000 0.000
P 0.750 0.750 0.750



Entry from Alexandria: Y2As after structural relaxation (PBE).

Symmetry   No. 12
DOS(E_F)   8.17 states/eV/cell
Formation energy from the elements   -882 meV per atom
Spin magnetization   0.0220 μB per atom

Cell lengths 5.964, 5.964, 8.155 Å; angles 61.74, 61.74, 38.75 degrees
Positions (direct):
Y 0.662 0.662 0.935
Y 0.077 0.077 0.637
Y 0.923 0.923 0.363
Y 0.338 0.338 0.065
As 0.658 0.658 0.321
As 0.342 0.342 0.679



Entry from Alexandria: LaTcAu2Cl after structural relaxation (PBE).

Symmetry   No. 123
Electronic total energy   -4.183 eV per atom
DOS(E_F)   4.25 states/eV/cell
Spin magnetization   0.1551 μB per atom

Cell lengths 5.115, 4.431, 5.115 Å; angles 90.00, 90.00, 90.00 degrees
Last column: magnetic moment on the atom in μB.
Positions (direct):
Tc 0.000 0.500 0.000  0.77
La 0.500 0.500 0.500  -0.03
Cl 0.000 0.000 0.000  -0.01
Au 0.000 0.000 0.500  0.02
Au 0.500 0.000 0.000  0.00



Entry from Alexandria: CoRh2Se6 after structural relaxation (PBE).

Symmetry   No. 136
Electronic total energy   -4.892 eV per atom
DOS(E_F)   16.89 states/eV/cell
Spin magnetization   0.2267 μB per atom

Cell lengths 5.630, 5.630, 11.519 Å; angles 90.00, 90.00, 90.00 degrees
Last column: magnetic moment on the atom in μB.
Positions (direct):
Se 0.811 0.189 0.338  0.11
Rh 0.500 0.500 0.334  0.14
Co 0.500 0.500 0.000  0.78
Se 0.311 0.311 0.162  0.11
Rh 0.000 0.000 0.834  0.14
Se 0.298 0.298 0.500  0.10
Co 0.000 0.000 0.500  0.78
Se 0.689 0.689 0.838  0.11
Se 0.811 0.189 0.662  0.11
Se 0.189 0.811 0.662  0.11
Rh 0.500 0.500 0.666  0.14
Se 0.189 0.811 0.338  0.11
Se 0.689 0.689 0.162  0.11
Rh 0.000 0.000 0.166  0.14
Se 0.798 0.202 0.000  0.10
Se 0.202 0.798 0.000  0.10
Se 0.311 0.311 0.838  0.11
Se 0.702 0.702 0.500  0.10



Entry from Alexandria: Ca2Zn5Pd4 after structural relaxation (PBE).

Symmetry   No. 69
DOS(E_F)   2.61 states/eV/cell
Formation energy from the elements   -553 meV per atom
Spin magnetization   0.0000 μB per atom

Cell lengths 5.419, 5.398, 8.660 Å; angles 80.97, 71.77, 59.88 degrees
Positions (direct):
Zn 0.000 0.500 0.000
Pd 0.537 0.674 0.253
Ca 0.856 0.000 0.288
Ca 0.144 0.000 0.712
Zn 0.750 0.500 0.500
Pd 0.211 0.326 0.253
Zn 0.500 0.500 0.000
Zn 0.250 0.500 0.500
Pd 0.463 0.326 0.747
Zn 0.500 0.000 0.000
Pd 0.789 0.674 0.747



Entry from Alexandria: La6Ga2RuBr3 after structural relaxation (PBE).

Symmetry   No. 12
Electronic total energy   -5.104 eV per atom
DOS(E_F)   6.60 states/eV/cell
Spin magnetization   0.0000 μB per atom

Cell lengths 4.215, 9.360, 10.095 Å; angles 105.92, 102.05, 90.00 degrees
Positions (direct):
La 0.005 0.216 0.009
Br 0.173 0.836 0.346
Br 0.827 0.164 0.654
Br 0.500 0.500 0.000
Ga 0.835 0.666 0.670
La 0.325 0.425 0.650
Ru 0.500 0.000 0.000
La 0.355 0.911 0.709
La 0.995 0.784 0.991
Ga 0.165 0.334 0.330
La 0.675 0.575 0.350
La 0.645 0.089 0.291



Entry from Alexandria: TlIn2Br3 after structural relaxation (PBE).

Symmetry   No. 12
Spin magnetization   0.0000 μB per atom
Energy relative to the lowest polymorph listed for this composition   0.22 eV/f.u.

Cell lengths 4.583, 9.792, 10.283 Å; angles 101.41, 102.88, 90.00 degrees
Positions (direct):
Br 0.238 0.184 0.477
In 0.201 0.591 0.401
Br 0.397 0.617 0.793
Br 0.916 0.255 0.833
Br 0.084 0.745 0.167
Br 0.603 0.383 0.207
Tl 0.358 0.023 0.717
Br 0.762 0.816 0.523
In 0.056 0.192 0.112
In 0.944 0.808 0.888
In 0.799 0.409 0.599
Tl 0.642 0.977 0.283



Entry from Alexandria: TlOsF3 after structural relaxation (PBE).

Symmetry   No. 221
DOS(E_F)   6.89 states/eV/cell
Spin magnetization   0.9237 μB per atom
Energy relative to the lowest polymorph listed for this composition   4.19 eV/f.u.

Cell lengths 4.618, 4.618, 4.618 Å; angles 90.00, 90.00, 90.00 degrees
Last column: magnetic moment on the atom in μB.
Positions (direct):
F 0.000 0.000 0.500  0.05
F 0.000 0.500 0.000  0.06
Os 0.500 0.500 0.500  3.71
F 0.500 0.000 0.000  0.03
Tl 0.000 0.000 0.000  -0.01